1.
# ZrVSbI2 | the Alexandria database | PBE | relaxed
# Formation energy (no corrections): 0.52 eV per atom
# Total moment: 3.72 μB per formula unit
# Energy above the lowest structure with this stoichiometry: 0.000 eV/atom
data_ZrVSbI2
_chemical_formula_sum 'Zr1 V1 Sb1 I2'
_cell_length_a 5.631
_cell_length_b 5.631
_cell_length_c 5.780
_cell_angle_alpha 90.00
_cell_angle_beta 90.00
_cell_angle_gamma 90.00
_space_group_name_H-M_alt 'P 4/m m m'
_space_group_IT_number 123
_space_group_name_Hall '-P 4 2'
loop_
_atom_site_label
_atom_site_type_symbol
_atom_site_fract_x
_atom_site_fract_y
_atom_site_fract_z
Zr1 Zr 0.000 0.000 0.000
V1 V 0.500 0.500 0.500
Sb1 Sb 0.000 0.000 0.500
I1 I 0.000 0.500 0.000

=====

2.
# Fe2RhSe | the Alexandria database | PBE | relaxed
# Formation energy (no corrections): 0.20 eV per atom
# Total moment: 5.78 μB per formula unit
data_Fe2RhSe
_chemical_formula_sum 'Fe8 Rh4 Se4'
_cell_length_a 6.048
_cell_length_b 6.048
_cell_length_c 6.048
_cell_angle_alpha 90.00
_cell_angle_beta 90.00
_cell_angle_gamma 90.00
_space_group_name_H-M_alt 'F -4 3 m'
_space_group_IT_number 216
_space_group_name_Hall 'F -4 2 3'
loop_
_atom_site_label
_atom_site_type_symbol
_atom_site_fract_x
_atom_site_fract_y
_atom_site_fract_z
Fe1 Fe 0.000 0.000 0.000
Fe2 Fe 0.250 0.250 0.250
Rh1 Rh 0.000 0.000 0.500
Se1 Se 0.250 0.250 0.750

=====

3.
# Sm2AlSi4Ni3 | the Alexandria database | PBE | relaxed
# Formation energy (no corrections): -0.79 eV per atom
# Total moment: 0.00 μB per formula unit
data_Sm2AlSi4Ni3
_chemical_formula_sum 'Sm2 Al1 Si4 Ni3'
_cell_length_a 4.004
_cell_length_b 4.004
_cell_length_c 9.954
_cell_angle_alpha 90.00
_cell_angle_beta 90.00
_cell_angle_gamma 90.00
_space_group_name_H-M_alt 'P -4 m 2'
_space_group_IT_number 115
loop_
_space_group_symop_operation_xyz
'x,y,z'
'y,-x,-z'
'-x,-y,z'
'-y,x,-z'
'-x,y,z'
'-y,-x,-z'
'x,-y,z'
'y,x,-z'
loop_
_atom_site_label
_atom_site_type_symbol
_atom_site_fract_x
_atom_site_fract_y
_atom_site_fract_z
Sm1 Sm 0.000 0.500 0.240
Al1 Al 0.000 0.000 0.500
Si1 Si 0.000 0.000 0.000
Si2 Si 0.000 0.500 0.648
Si3 Si 0.500 0.500 0.000
Ni1 Ni 0.000 0.500 0.881
Ni2 Ni 0.500 0.500 0.500

=====

4.
# Zr6TcAu | the Alexandria database | PBE | relaxed
# Total moment: 0.00 μB per formula unit
# Calculated formation energy: -0.216 eV per atom
data_Zr6TcAu
_chemical_formula_sum 'Zr12 Tc2 Au2'
_cell_length_a 4.714
_cell_length_b 4.714
_cell_length_c 15.141
_cell_angle_alpha 90.00
_cell_angle_beta 90.00
_cell_angle_gamma 90.00
_space_group_name_H-M_alt 'I 4/m m m'
_space_group_IT_number 139
_space_group_name_Hall '-I 4 2'
loop_
_atom_site_label
_atom_site_type_symbol
_atom_site_fract_x
_atom_site_fract_y
_atom_site_fract_z
Zr1 Zr 0.000 0.000 0.247
Zr2 Zr 0.000 0.500 0.112
Tc1 Tc 0.000 0.000 0.000
Au1 Au 0.000 0.000 0.500

=====

5.
# Th8FeBi2 | the Alexandria database | PBE | relaxed
# Total moment: 0.00 μB per formula unit
# Calculated formation energy: -0.098 eV per atom
data_Th8FeBi2
_chemical_formula_sum 'Th16 Fe2 Bi4'
_cell_length_a 18.373
_cell_length_b 5.624
_cell_length_c 6.804
_cell_angle_alpha 90.00
_cell_angle_beta 109.59
_cell_angle_gamma 90.00
_space_group_name_H-M_alt 'C 1 2/m 1'
_space_group_IT_number 12
loop_
_space_group_symop_operation_xyz
'x,y,z'
'-x,-y,-z'
'-x,y,-z'
'x,-y,z'
'x+1/2,y+1/2,z'
'-x+1/2,-y+1/2,-z'
'-x+1/2,y+1/2,-z'
'x+1/2,-y+1/2,z'
loop_
_atom_site_label
_atom_site_type_symbol
_atom_site_fract_x
_atom_site_fract_y
_atom_site_fract_z
Th1 Th 0.002 0.000 0.269
Th2 Th 0.084 0.500 0.243
Th3 Th 0.131 0.500 0.784
Th4 Th 0.221 0.000 0.625
Fe1 Fe 0.000 0.500 0.500
Bi1 Bi 0.173 0.000 0.107

=====

6.
# Y4AlTlCd2 | the Alexandria database | PBE | relaxed
# Total moment: 0.00 μB per formula unit
# Calculated formation energy: -0.383 eV per atom
data_Y4AlTlCd2
_chemical_formula_sum 'Y12 Al3 Tl3 Cd6'
_cell_length_a 5.2654
_cell_length_b 5.2654
_cell_length_c 25.8698
_cell_angle_alpha 90.00
_cell_angle_beta 90.00
_cell_angle_gamma 120.00
_space_group_name_H-M_alt 'R -3 m'
_space_group_IT_number 166
_space_group_name_Hall '-R 3 2"'
loop_
_atom_site_label
_atom_site_type_symbol
_atom_site_fract_x
_atom_site_fract_y
_atom_site_fract_z
Y1 Y 0.0000 0.0000 0.1222
Y2 Y 0.0000 0.0000 0.3724
Al1 Al 0.0000 0.0000 0.0000
Tl1 Tl 0.0000 0.0000 0.5000
Cd1 Cd 0.0000 0.0000 0.2509

=====

7.
# SmZnAu3 | the Alexandria database | PBE | relaxed
# Total moment: 0.00 μB per formula unit
# Calculated formation energy: -0.560 eV per atom
data_SmZnAu3
_chemical_formula_sum 'Sm4 Zn4 Au12'
_cell_length_a 9.094
_cell_length_b 4.822
_cell_length_c 9.302
_cell_angle_alpha 90.00
_cell_angle_beta 90.00
_cell_angle_gamma 90.00
_space_group_name_H-M_alt 'P n m a'
_space_group_IT_number 62
loop_
_space_group_symop_operation_xyz
'x,y,z'
'-x,-y,-z'
'-x+1/2,-y,z+1/2'
'x+1/2,y,-z+1/2'
'x+1/2,-y+1/2,-z+1/2'
'-x+1/2,y+1/2,z+1/2'
'-x,y+1/2,-z'
'x,-y+1/2,z'
loop_
_atom_site_label
_atom_site_type_symbol
_atom_site_fract_x
_atom_site_fract_y
_atom_site_fract_z
Sm1 Sm 0.237 0.250 0.004
Zn1 Zn 0.103 0.250 0.667
Au1 Au 0.076 0.250 0.388
Au2 Au 0.108 0.750 0.845
Au3 Au 0.110 0.750 0.159

=====

8.
# TbAs2Rh7Pb2 | the Alexandria database | PBE | relaxed
# Total moment: 0.00 μB per formula unit
# Calculated formation energy: -0.264 eV per atom
data_TbAs2Rh7Pb2
_chemical_formula_sum 'Tb2 As4 Rh14 Pb4'
_cell_length_a 5.686
_cell_length_b 5.649
_cell_length_c 14.134
_cell_angle_alpha 90.00
_cell_angle_beta 97.00
_cell_angle_gamma 90.00
_space_group_name_H-M_alt 'C 1 2/m 1'
_space_group_IT_number 12
loop_
_space_group_symop_operation_xyz
'x,y,z'
'-x,-y,-z'
'-x,y,-z'
'x,-y,z'
'x+1/2,y+1/2,z'
'-x+1/2,-y+1/2,-z'
'-x+1/2,y+1/2,-z'
'x+1/2,-y+1/2,z'
loop_
_atom_site_label
_atom_site_type_symbol
_atom_site_fract_x
_atom_site_fract_y
_atom_site_fract_z
Tb1 Tb 0.000 0.000 0.000
As1 As 0.075 0.500 0.248
Rh1 Rh 0.000 0.500 0.000
Rh2 Rh 0.119 0.500 0.422
Rh3 Rh 0.205 0.250 0.849
Pb1 Pb 0.107 0.000 0.390

=====

9.
# CrAg2Os | the Alexandria database | PBE | relaxed
# Total moment: 2.10 μB per formula unit
# Calculated formation energy: 0.665 eV per atom
# Energy above the lowest structure with this stoichiometry: 0.351 eV/atom
data_CrAg2Os
_chemical_formula_sum 'Cr1 Ag2 Os1'
_cell_length_a 3.772
_cell_length_b 3.772
_cell_length_c 4.418
_cell_angle_alpha 90.00
_cell_angle_beta 90.00
_cell_angle_gamma 90.00
_space_group_name_H-M_alt 'P 4/m m m'
_space_group_IT_number 123
_space_group_name_Hall '-P 4 2'
loop_
_atom_site_label
_atom_site_type_symbol
_atom_site_fract_x
_atom_site_fract_y
_atom_site_fract_z
Cr1 Cr 0.000 0.000 0.000
Ag1 Ag 0.000 0.500 0.500
Os1 Os 0.500 0.500 0.000

=====

10.
# ZrTcIr2 | the Alexandria database | PBE | relaxed
# Total moment: 0.00 μB per formula unit
# Calculated formation energy: -0.412 eV per atom
# Energy above the lowest structure with this stoichiometry: 0.049 eV/atom
data_ZrTcIr2
_chemical_formula_sum 'Zr1 Tc1 Ir2'
_cell_length_a 2.860
_cell_length_b 3.911
_cell_length_c 5.744
_cell_angle_alpha 90.00
_cell_angle_beta 90.20
_cell_angle_gamma 90.00
_space_group_name_H-M_alt 'P 1 2/m 1'
_space_group_IT_number 10
loop_
_space_group_symop_operation_xyz
'x,y,z'
'-x,-y,-z'
'-x,y,-z'
'x,-y,z'
loop_
_atom_site_label
_atom_site_type_symbol
_atom_site_fract_x
_atom_site_fract_y
_atom_site_fract_z
Zr1 Zr 0.000 0.000 0.000
Tc1 Tc 0.000 0.000 0.500
Ir1 Ir 0.500 0.500 0.268

=====

11.
# BC2 | the Alexandria database | PBE | relaxed
# Total moment: 0.00 μB per formula unit
# Calculated formation energy: 0.295 eV per atom
# Energy above the lowest structure with this stoichiometry: 0.055 eV/atom
data_BC2
_chemical_formula_sum 'B8 C16'
_cell_length_a 8.369
_cell_length_b 2.557
_cell_length_c 8.065
_cell_angle_alpha 90.00
_cell_angle_beta 119.87
_cell_angle_gamma 90.00
_space_group_name_H-M_alt 'C 1 m 1'
_space_group_IT_number 8
loop_
_space_group_symop_operation_xyz
'x,y,z'
'x,-y,z'
'x+1/2,y+1/2,z'
'x+1/2,-y+1/2,z'
loop_
_atom_site_label
_atom_site_type_symbol
_atom_site_fract_x
_atom_site_fract_y
_atom_site_fract_z
B1 B 0.000 0.000 0.000
B2 B 0.073 0.500 0.620
B3 B 0.199 0.000 0.943
B4 B 0.404 0.500 0.760
C1 C 0.029 0.500 0.137
C2 C 0.056 0.000 0.472
C3 C 0.210 0.500 0.322
C4 C 0.220 0.000 0.442
C5 C 0.247 0.500 0.840
C6 C 0.364 0.000 0.169
C7 C 0.374 0.500 0.287
C8 C 0.392 0.000 0.634

=====

12.
# Tl2Ga4Sn5 | the Alexandria database | PBE | relaxed
# Total moment: 0.00 μB per formula unit
# Calculated formation energy: 0.053 eV per atom
data_Tl2Ga4Sn5
_chemical_formula_sum 'Tl2 Ga4 Sn5'
_cell_length_a 6.156
_cell_length_b 6.742
_cell_length_c 7.583
_cell_angle_alpha 78.59
_cell_angle_beta 75.73
_cell_angle_gamma 68.18
_space_group_name_H-M_alt 'P -1'
_space_group_IT_number 2
loop_
_space_group_symop_operation_xyz
'x,y,z'
'-x,-y,-z'
loop_
_atom_site_label
_atom_site_type_symbol
_atom_site_fract_x
_atom_site_fract_y
_atom_site_fract_z
Tl1 Tl 0.115 0.373 0.312
Ga1 Ga 0.176 0.884 0.270
Ga2 Ga 0.299 0.967 0.587
Sn1 Sn 0.273 0.675 0.930
Sn2 Sn 0.299 0.184 0.895
Sn3 Sn 0.500 0.500 0.500

=====

13.
# NaMgBe2Br | the Alexandria database | PBE | relaxed
# Formation energy (no corrections): 1.21 eV per atom
# Total moment: 0.00 μB per formula unit
data_NaMgBe2Br
_chemical_formula_sum 'Na1 Mg1 Be2 Br1'
_cell_length_a 5.039
_cell_length_b 5.039
_cell_length_c 5.833
_cell_angle_alpha 90.00
_cell_angle_beta 90.00
_cell_angle_gamma 90.00
_space_group_name_H-M_alt 'P 4/m m m'
_space_group_IT_number 123
_space_group_name_Hall '-P 4 2'
loop_
_atom_site_label
_atom_site_type_symbol
_atom_site_fract_x
_atom_site_fract_y
_atom_site_fract_z
Na1 Na 0.000 0.000 0.000
Mg1 Mg 0.000 0.000 0.500
Be1 Be 0.000 0.500 0.000
Br1 Br 0.500 0.500 0.500

=====

14.
# AlGa2Pd2 | the Alexandria database | PBE | relaxed
# Total moment: 0.00 μB per formula unit
# Calculated formation energy: -0.616 eV per atom
# Energy above the lowest structure with this stoichiometry: 0.000 eV/atom
data_AlGa2Pd2
_chemical_formula_sum 'Al1 Ga2 Pd2'
_cell_length_a 4.3058
_cell_length_b 4.3058
_cell_length_c 5.1616
_cell_angle_alpha 90.00
_cell_angle_beta 90.00
_cell_angle_gamma 120.00
_space_group_name_H-M_alt 'P -3 m 1'
_space_group_IT_number 164
_space_group_name_Hall '-P 3 2"'
loop_
_atom_site_label
_atom_site_type_symbol
_atom_site_fract_x
_atom_site_fract_y
_atom_site_fract_z
Al1 Al 0.0000 0.0000 0.0000
Ga1 Ga 0.3333 0.6667 0.6396
Pd1 Pd 0.3333 0.6667 0.1479

=====

15.
# ScCrCd2 | the Alexandria database | PBE | relaxed
# Total moment: 2.64 μB per formula unit
# Calculated formation energy: 0.113 eV per atom
# Energy above the lowest structure with this stoichiometry: 0.070 eV/atom
data_ScCrCd2
_chemical_formula_sum 'Sc1 Cr1 Cd2'
_cell_length_a 3.184
_cell_length_b 3.184
_cell_length_c 7.953
_cell_angle_alpha 90.00
_cell_angle_beta 90.00
_cell_angle_gamma 90.00
_space_group_name_H-M_alt 'P 4 m m'
_space_group_IT_number 99
loop_
_space_group_symop_operation_xyz
'x,y,z'
'-y,x,z'
'-x,-y,z'
'y,-x,z'
'-x,y,z'
'y,x,z'
'x,-y,z'
'-y,-x,z'
loop_
_atom_site_label
_atom_site_type_symbol
_atom_site_fract_x
_atom_site_fract_y
_atom_site_fract_z
Sc1 Sc 0.000 0.000 0.000
Cr1 Cr 0.500 0.500 0.784
Cd1 Cd 0.000 0.000 0.561
Cd2 Cd 0.500 0.500 0.286

=====

16.
# TiTcAu2 | the Alexandria database | PBE | relaxed
# Total moment: 0.00 μB per formula unit
# Calculated formation energy: 0.137 eV per atom
# Energy above the lowest structure with this stoichiometry: 0.000 eV/atom
data_TiTcAu2
_chemical_formula_sum 'Ti4 Tc4 Au8'
_cell_length_a 6.453
_cell_length_b 6.453
_cell_length_c 6.453
_cell_angle_alpha 90.00
_cell_angle_beta 90.00
_cell_angle_gamma 90.00
_space_group_name_H-M_alt 'F m -3 m'
_space_group_IT_number 225
_space_group_name_Hall '-F 4 2 3'
loop_
_atom_site_label
_atom_site_type_symbol
_atom_site_fract_x
_atom_site_fract_y
_atom_site_fract_z
Ti1 Ti 0.000 0.000 0.000
Tc1 Tc 0.000 0.000 0.500
Au1 Au 0.250 0.250 0.250

=====

17.
# K2B2H7 | the Alexandria database | PBE | relaxed
# Total moment: 0.00 μB per formula unit
# Energy above the lowest structure with this stoichiometry: 0.000 eV/atom
data_K2B2H7
_chemical_formula_sum 'K4 B4 H14'
_cell_length_a 9.055
_cell_length_b 8.350
_cell_length_c 4.447
_cell_angle_alpha 90.00
_cell_angle_beta 114.84
_cell_angle_gamma 90.00
_space_group_name_H-M_alt 'C 1 2/m 1'
_space_group_IT_number 12
loop_
_space_group_symop_operation_xyz
'x,y,z'
'-x,-y,-z'
'-x,y,-z'
'x,-y,z'
'x+1/2,y+1/2,z'
'-x+1/2,-y+1/2,-z'
'-x+1/2,y+1/2,-z'
'x+1/2,-y+1/2,z'
loop_
_atom_site_label
_atom_site_type_symbol
_atom_site_fract_x
_atom_site_fract_y
_atom_site_fract_z
K1 K 0.000 0.240 0.000
B1 B 0.179 0.000 0.686
H1 H 0.000 0.000 0.500
H2 H 0.206 0.000 0.979
H3 H 0.216 0.123 0.588